(1)
LiMg2Zn | PBE-GGA | optimized geometry

Magnetic moment in μB per formula unit: 0.0
DOS(E_F) in states/eV per atom: 0.27
Density in g/cm³: 2.64
Formation enthalpy at 0 K in eV/f.u.: -0.21
VASP energy in eV per formula unit: -6.58

Cell and atoms, written as CIF:
```
data_LiMg2Zn
_chemical_formula_sum 'Li1 Mg2 Zn1'
_space_group_name_H-M_alt 'P 1'
_space_group_IT_number 1
_cell_length_a 4.5155
_cell_length_b 2.9482
_cell_length_c 5.8731
_cell_angle_alpha 76.83
_cell_angle_beta 90.00
_cell_angle_gamma 90.00
loop_
_space_group_symop_operation_xyz
'x,y,z'
loop_
_atom_site_label
_atom_site_type_symbol
_atom_site_fract_x
_atom_site_fract_y
_atom_site_fract_z
Mg1 Mg 0.0000 0.0178 0.0063
Mg2 Mg 0.0000 0.4822 0.4937
Li1 Li 0.5000 0.7500 0.7500
Zn1 Zn 0.5000 0.2500 0.2500
```

(2)
Pm2Er8Mg | PBE-GGA | optimized geometry

Magnetic moment in μB per formula unit: 0.0
DOS(E_F) in states/eV per atom: 1.63
Density in g/cm³: 7.89
Formation enthalpy at 0 K in eV/f.u.: 1.21
VASP energy in eV per formula unit: -46.39
Distance to the lowest polymorph of the same formula in eV per atom: 0.000

Cell and atoms, written as CIF:
```
data_Pm2Er8Mg
_chemical_formula_sum 'Pm2 Er8 Mg1'
_space_group_name_H-M_alt 'P 1'
_space_group_IT_number 1
_cell_length_a 5.4828
_cell_length_b 7.5373
_cell_length_c 9.6210
_cell_angle_alpha 113.06
_cell_angle_beta 106.56
_cell_angle_gamma 90.00
loop_
_space_group_symop_operation_xyz
'x,y,z'
loop_
_atom_site_label
_atom_site_type_symbol
_atom_site_fract_x
_atom_site_fract_y
_atom_site_fract_z
Er1 Er 0.6369 0.8649 0.2738
Er2 Er 0.0000 0.2620 0.0000
Er3 Er 0.8238 0.8238 0.6476
Er4 Er 0.3631 0.1351 0.7262
Er5 Er 0.3631 0.5911 0.7262
Er6 Er 0.6369 0.4089 0.2738
Er7 Er 0.1762 0.1762 0.3524
Er8 Er 0.0000 0.7380 0.0000
Pm1 Pm 0.8055 0.3055 0.6111
Pm2 Pm 0.1945 0.6945 0.3889
Mg1 Mg 0.5000 0.0000 0.0000
```

(3)
Dy2OsPd | PBE-GGA | optimized geometry

Magnetic moment in μB per formula unit: 0.0
DOS(E_F) in states/eV per atom: 0.36
Density in g/cm³: 11.47
Formation enthalpy at 0 K in eV/f.u.: 0.51
VASP energy in eV per formula unit: -25.11
Distance to the lowest polymorph of the same formula in eV per atom: 0.698

Cell and atoms, written as CIF:
```
data_Dy2OsPd
_chemical_formula_sum 'Dy2 Os1 Pd1'
_space_group_name_H-M_alt 'P 1'
_space_group_IT_number 1
_cell_length_a 3.3155
_cell_length_b 3.3155
_cell_length_c 9.6428
_cell_angle_alpha 80.10
_cell_angle_beta 80.10
_cell_angle_gamma 60.00
loop_
_space_group_symop_operation_xyz
'x,y,z'
loop_
_atom_site_label
_atom_site_type_symbol
_atom_site_fract_x
_atom_site_fract_y
_atom_site_fract_z
Pd1 Pd 0.0000 0.0000 0.0000
Dy1 Dy 0.9064 0.9064 0.2808
Dy2 Dy 0.0936 0.0936 0.7192
Os1 Os 0.5000 0.5000 0.5000
```

(4)
NaSi2I | PBE-GGA | optimized geometry

Magnetic moment in μB per formula unit: 0.0
DOS(E_F) in states/eV per atom: 0.54
Density in g/cm³: 3.30
VASP energy in eV per formula unit: -11.34
Distance to the lowest polymorph of the same formula in eV per atom: 0.000
Uncorrected formation energy in eV per atom: 0.595

Cell and atoms, written as CIF:
```
data_NaSi2I
_chemical_formula_sum 'Na2 Si4 I2'
_space_group_name_H-M_alt 'P 1'
_space_group_IT_number 1
_cell_length_a 8.6838
_cell_length_b 8.6838
_cell_length_c 6.7275
_cell_angle_alpha 49.80
_cell_angle_beta 49.80
_cell_angle_gamma 90.00
loop_
_space_group_symop_operation_xyz
'x,y,z'
loop_
_atom_site_label
_atom_site_type_symbol
_atom_site_fract_x
_atom_site_fract_y
_atom_site_fract_z
Si1 Si 0.6388 0.1250 0.2500
Si2 Si 0.3750 0.3612 0.7500
Si3 Si 0.1112 0.6250 0.2500
Si4 Si 0.8750 0.8888 0.7500
I1 I 0.7500 0.2500 0.5000
I2 I 0.0000 0.0000 0.0000
Na1 Na 0.5000 0.5000 0.0000
Na2 Na 0.2500 0.7500 0.5000
```

(5)
AlIn2W | PBE-GGA | optimized geometry

Magnetic moment in μB per formula unit: 0.0
DOS(E_F) in states/eV per atom: 0.47
Density in g/cm³: 9.54
Formation enthalpy at 0 K in eV/f.u.: 1.68
VASP energy in eV per formula unit: -20.49

Cell and atoms, written as CIF:
```
data_AlIn2W
_chemical_formula_sum 'Al1 In2 W1'
_space_group_name_H-M_alt 'P 1'
_space_group_IT_number 1
_cell_length_a 5.3913
_cell_length_b 5.3913
_cell_length_c 5.0646
_cell_angle_alpha 84.05
_cell_angle_beta 84.05
_cell_angle_gamma 31.60
loop_
_space_group_symop_operation_xyz
'x,y,z'
loop_
_atom_site_label
_atom_site_type_symbol
_atom_site_fract_x
_atom_site_fract_y
_atom_site_fract_z
In1 In 0.0114 0.0114 0.9931
In2 In 0.4886 0.4886 0.5069
Al1 Al 0.2500 0.2500 0.2500
W1 W 0.7500 0.7500 0.7500
```

(6)
DyY4Cd | PBE-GGA | optimized geometry

Magnetic moment in μB per formula unit: 0.0
DOS(E_F) in states/eV per atom: 1.52
Density in g/cm³: 5.64
Formation enthalpy at 0 K in eV/f.u.: 0.00
VASP energy in eV per formula unit: -31.38
Distance to the lowest polymorph of the same formula in eV per atom: 0.098

Cell and atoms, written as CIF:
```
data_DyY4Cd
_chemical_formula_sum 'Dy2 Y8 Cd2'
_space_group_name_H-M_alt 'P 1'
_space_group_IT_number 1
_cell_length_a 6.3447
_cell_length_b 8.9647
_cell_length_c 8.3203
_cell_angle_alpha 113.09
_cell_angle_beta 100.03
_cell_angle_gamma 112.61
loop_
_space_group_symop_operation_xyz
'x,y,z'
loop_
_atom_site_label
_atom_site_type_symbol
_atom_site_fract_x
_atom_site_fract_y
_atom_site_fract_z
Y1 Y 0.6355 0.0914 0.3806
Y2 Y 0.9588 0.8342 0.2361
Y3 Y 0.3645 0.9086 0.6194
Y4 Y 0.2451 0.2891 0.3806
Y5 Y 0.2227 0.5981 0.7639
Y6 Y 0.7549 0.7109 0.6194
Y7 Y 0.7773 0.4019 0.2361
Y8 Y 0.0412 0.1658 0.7639
Cd1 Cd 0.7498 0.9998 0.9996
Cd2 Cd 0.2502 0.0002 0.0004
Dy1 Dy 0.3424 0.5924 0.1849
Dy2 Dy 0.6576 0.4076 0.8151
```

(7)
SrInRuSe2 | PBE-GGA | optimized geometry

Magnetic moment in μB per formula unit: 3.4
DOS(E_F) in states/eV per atom: 0.98
Density in g/cm³: 4.51
VASP energy in eV per formula unit: -16.27
Uncorrected formation energy in eV per atom: 0.879

Cell and atoms, written as CIF:
```
data_SrInRuSe2
_chemical_formula_sum 'Sr1 In1 Ru1 Se2'
_space_group_name_H-M_alt 'P 1'
_space_group_IT_number 1
_cell_length_a 5.2252
_cell_length_b 6.2250
_cell_length_c 5.2252
_cell_angle_alpha 90.00
_cell_angle_beta 90.00
_cell_angle_gamma 90.00
loop_
_space_group_symop_operation_xyz
'x,y,z'
loop_
_atom_site_label
_atom_site_type_symbol
_atom_site_fract_x
_atom_site_fract_y
_atom_site_fract_z
In1 In 0.0000 0.0000 0.0000
Ru1 Ru 0.5000 0.5000 0.5000
Se1 Se 0.5000 0.0000 0.0000
Se2 Se 0.0000 0.0000 0.5000
Sr1 Sr 0.0000 0.5000 0.0000
```

(8)
Rb2TbTmSe4 | PBE-GGA | optimized geometry

Magnetic moment in μB per formula unit: 0.0
DOS(E_F) in states/eV per atom: 0.00
Density in g/cm³: 5.47
VASP energy in eV per formula unit: -38.84
Uncorrected formation energy in eV per atom: -1.733

Cell and atoms, written as CIF:
```
data_Rb2TbTmSe4
_chemical_formula_sum 'Rb2 Tb1 Tm1 Se4'
_space_group_name_H-M_alt 'P 1'
_space_group_IT_number 1
_cell_length_a 4.2262
_cell_length_b 7.3201
_cell_length_c 8.3537
_cell_angle_alpha 106.97
_cell_angle_beta 90.00
_cell_angle_gamma 90.00
loop_
_space_group_symop_operation_xyz
'x,y,z'
loop_
_atom_site_label
_atom_site_type_symbol
_atom_site_fract_x
_atom_site_fract_y
_atom_site_fract_z
Se1 Se 0.0000 0.2646 0.8045
Se2 Se 0.5000 0.2276 0.1939
Se3 Se 0.5000 0.7724 0.8061
Se4 Se 0.0000 0.7354 0.1955
Tb1 Tb 0.5000 0.5000 0.0000
Tm1 Tm 0.0000 0.0000 0.0000
Rb1 Rb 0.5000 0.0000 0.5000
Rb2 Rb 0.0000 0.5000 0.5000
```

(9)
Cd2Re2B | PBE-GGA | optimized geometry

Magnetic moment in μB per formula unit: 0.0
DOS(E_F) in states/eV per atom: 0.75
Density in g/cm³: 11.49
Formation enthalpy at 0 K in eV/f.u.: 7.91
VASP energy in eV per formula unit: -25.49
Distance to the lowest polymorph of the same formula in eV per atom: 1.280

Cell and atoms, written as CIF:
```
data_Cd2Re2B
_chemical_formula_sum 'Cd2 Re2 B1'
_space_group_name_H-M_alt 'P 1'
_space_group_IT_number 1
_cell_length_a 3.4482
_cell_length_b 3.4482
_cell_length_c 7.7829
_cell_angle_alpha 77.20
_cell_angle_beta 77.20
_cell_angle_gamma 90.00
loop_
_space_group_symop_operation_xyz
'x,y,z'
loop_
_atom_site_label
_atom_site_type_symbol
_atom_site_fract_x
_atom_site_fract_y
_atom_site_fract_z
Cd1 Cd 0.2500 0.7500 0.5000
Cd2 Cd 0.7500 0.2500 0.5000
B1 B 0.0000 0.0000 0.0000
Re1 Re 0.5771 0.5771 0.8459
Re2 Re 0.4229 0.4229 0.1541
```

(10)
ReSnP2O | PBE-GGA | optimized geometry

Magnetic moment in μB per formula unit: 3.1
DOS(E_F) in states/eV per atom: 0.55
Density in g/cm³: 6.52
VASP energy in eV per formula unit: -26.53
Distance to the lowest polymorph of the same formula in eV per atom: 1.295
Uncorrected formation energy in eV per atom: 1.141

Cell and atoms, written as CIF:
```
data_ReSnP2O
_chemical_formula_sum 'Re1 Sn1 P2 O1'
_space_group_name_H-M_alt 'P 1'
_space_group_IT_number 1
_cell_length_a 5.0331
_cell_length_b 5.0331
_cell_length_c 3.8467
_cell_angle_alpha 90.00
_cell_angle_beta 90.00
_cell_angle_gamma 90.00
loop_
_space_group_symop_operation_xyz
'x,y,z'
loop_
_atom_site_label
_atom_site_type_symbol
_atom_site_fract_x
_atom_site_fract_y
_atom_site_fract_z
O1 O 0.0000 0.0000 0.5000
Re1 Re 0.5000 0.5000 0.5000
P1 P 0.5000 0.0000 0.0000
P2 P 0.0000 0.5000 0.0000
Sn1 Sn 0.0000 0.0000 0.0000
```

(11)
Ba6Sn2P | PBE-GGA | optimized geometry

Magnetic moment in μB per formula unit: 1.0
DOS(E_F) in states/eV per atom: 0.65
Density in g/cm³: 4.87
Formation enthalpy at 0 K in eV/f.u.: -5.38
VASP energy in eV per formula unit: -30.33
Distance to the lowest polymorph of the same formula in eV per atom: 0.046

Cell and atoms, written as CIF:
```
data_Ba6Sn2P
_chemical_formula_sum 'Ba6 Sn2 P1'
_space_group_name_H-M_alt 'P 1'
_space_group_IT_number 1
_cell_length_a 5.1006
_cell_length_b 9.1888
_cell_length_c 9.1808
_cell_angle_alpha 120.03
_cell_angle_beta 90.00
_cell_angle_gamma 90.00
loop_
_space_group_symop_operation_xyz
'x,y,z'
loop_
_atom_site_label
_atom_site_type_symbol
_atom_site_fract_x
_atom_site_fract_y
_atom_site_fract_z
Sn1 Sn 0.0000 0.6669 0.3335
Sn2 Sn 0.0000 0.3334 0.6665
P1 P 0.5000 0.9998 0.0000
Ba1 Ba 0.0000 0.9999 0.2529
Ba2 Ba 0.0000 0.7469 0.7471
Ba3 Ba 0.0000 0.2533 0.0000
Ba4 Ba 0.5000 0.6009 0.0000
Ba5 Ba 0.5000 0.3987 0.3985
Ba6 Ba 0.5000 0.0002 0.6015
```

(12)
Nd2BiSe | PBE-GGA | optimized geometry

Magnetic moment in μB per formula unit: 0.0
DOS(E_F) in states/eV per atom: 0.70
Density in g/cm³: 7.73
VASP energy in eV per formula unit: -22.14
Distance to the lowest polymorph of the same formula in eV per atom: 0.063
Uncorrected formation energy in eV per atom: -1.311

Cell and atoms, written as CIF:
```
data_Nd2BiSe
_chemical_formula_sum 'Nd2 Bi1 Se1'
_space_group_name_H-M_alt 'P 1'
_space_group_IT_number 1
_cell_length_a 4.3536
_cell_length_b 4.3536
_cell_length_c 7.9554
_cell_angle_alpha 74.12
_cell_angle_beta 74.12
_cell_angle_gamma 60.00
loop_
_space_group_symop_operation_xyz
'x,y,z'
loop_
_atom_site_label
_atom_site_type_symbol
_atom_site_fract_x
_atom_site_fract_y
_atom_site_fract_z
Bi1 Bi 0.4993 0.4993 0.5022
Se1 Se 0.6688 0.6688 0.9937
Nd1 Nd 0.2575 0.2575 0.2275
Nd2 Nd 0.0745 0.0745 0.7766
```